Entry from Alexandria via LeMat-Bulk: crystalline NiHgClO at its relaxed geometry (GGA+U).

Values from the calculation:
- Final energy: -10.761 eV per formula unit
- Spin magnetization: 0.010 μB/atom

abc: 2.990 4.065 8.230
angles: 111.73 79.53 68.42
Fractional positions:
Ni: 0.418 0.801 0.364
Hg: 0.811 0.654 0.724
Cl: 0.163 0.544 0.131
O: 0.738 0.989 0.535